No. 1
The following is a DFT calculation (PBE) of an optimized crystal structure of Al2CdO.

Cell: 5.5388 4.8904 5.9982 Å, 90.00 114.59 90.00°
Space group P2_1 (No. 4)
One atom of each set of equivalent atoms:
Al1 0.0310 0.0000 0.3310 [2 per cell]
Al2 0.4659 0.3776 0.6104 [2 per cell]
Cd1 0.3959 0.3795 0.0991 [2 per cell]
O1 0.0989 0.3382 0.4673 [2 per cell]

Results
E above lowest polymorph: 10.3 kJ/mol of atoms
Energy relative to the elements, uncorrected: -20.6 kcal/mol of atoms
Volume: 18.47 Å³ per atom


No. 2
The following is a DFT calculation (PBE) of an optimized crystal structure of BTeAuN2.

Cell: 3.5590 3.5590 6.6534 Å, 90.00 90.00 90.00°
Space group P4/mmm (No. 123)
One atom of each set of equivalent atoms:
B1 0.0000 0.0000 0.0000 [1 per cell]
Te1 0.0000 0.0000 0.5000 [1 per cell]
Au1 0.5000 0.5000 0.5000 [1 per cell]
N1 0.0000 0.5000 0.0000 [2 per cell]

Results
E above lowest polymorph: 0.0 kJ/mol of atoms
Energy relative to the elements, uncorrected: 38.6 kcal/mol of atoms
Volume: 16.85 Å³ per atom


No. 3
The following is a DFT calculation (PBE) of an optimized crystal structure of MgSiOs2.

Cell: 2.8662 4.2826 4.9642 Å, 90.00 105.97 90.00°
Space group Pm (No. 6)
One atom of each set of equivalent atoms:
Mg1 0.0000 0.0000 0.0000 [1 per cell]
Si1 0.4017 0.5000 0.7890 [1 per cell]
Os1 0.2685 0.0000 0.5240 [1 per cell]
Os2 0.6782 0.5000 0.3262 [1 per cell]

Results
Energy relative to the elements, uncorrected: 1.0 kcal/mol of atoms
Volume: 14.65 Å³ per atom


No. 4
The following is a DFT calculation (PBE) of an optimized crystal structure of Ca4TcNi.

Cell: 8.7516 8.7516 8.7516 Å, 90.00 90.00 90.00°
Space group F-43m (No. 216)
One atom of each set of equivalent atoms:
Ca1 0.1243 0.1243 0.3757 [16 per cell]
Tc1 0.2500 0.2500 0.7500 [4 per cell]
Ni1 0.0000 0.0000 0.0000 [4 per cell]

Results
Energy of formation from the pure elements: 1191 meV/atom
Volume: 27.93 Å³ per atom


No. 5
The following is a DFT calculation (PBE) of an optimized crystal structure of Pr6GaOs2.

Cell: 9.8056 9.9378 10.6173 Å, 90.00 90.00 90.00°
Space group Immm (No. 71)
One atom of each set of equivalent atoms:
Pr1 0.0000 0.1984 0.2436 [8 per cell]
Pr2 0.1866 0.5000 0.1704 [8 per cell]
Pr3 0.2264 0.3191 0.5000 [8 per cell]
Ga1 0.0000 0.0000 0.0000 [2 per cell]
Ga2 0.0000 0.0000 0.5000 [2 per cell]
Os1 0.0000 0.3247 0.0000 [4 per cell]
Os2 0.0000 0.5000 0.3837 [4 per cell]

Results
Energy of formation from the pure elements: -168 meV/atom
Volume: 28.74 Å³ per atom


No. 6
The following is a DFT calculation (PBE) of an optimized crystal structure of La3Tb2Pr9.

Cell: 14.9810 12.7230 5.8173 Å, 90.00 112.66 90.00°
Space group Cm (No. 8)
One atom of each set of equivalent atoms:
La1 0.0000 0.0000 0.0000 [2 per cell]
La2 0.0299 0.5000 0.5289 [2 per cell]
La3 0.2590 0.0000 0.2578 [2 per cell]
Tb1 0.2742 0.3661 0.7724 [4 per cell]
Pr1 0.1267 0.1354 0.6267 [4 per cell]
Pr2 0.1322 0.3236 0.1318 [4 per cell]
Pr3 0.3487 0.5000 0.3478 [2 per cell]
Pr4 0.3908 0.1248 0.8885 [4 per cell]
Pr5 0.3986 0.2493 0.3956 [4 per cell]

Results
Energy of formation from the pure elements: 126 meV/atom
Volume: 36.54 Å³ per atom


No. 7
The following is a DFT calculation (PBE) of an optimized crystal structure of GaReHg3.

Cell: 5.2735 5.2735 5.2735 Å, 90.00 90.00 90.00°
Space group Pm-3m (No. 221)
One atom of each set of equivalent atoms:
Ga1 0.0000 0.0000 0.0000 [1 per cell]
Re1 0.5000 0.5000 0.5000 [1 per cell]
Hg1 0.0000 0.5000 0.5000 [3 per cell]

Results
E above lowest polymorph: 0.0 kJ/mol of atoms
Energy of formation from the pure elements: 911 meV/atom
Volume: 29.33 Å³ per atom


No. 8
The following is a DFT calculation (PBE) of an optimized crystal structure of InHg2I6.

Cell: 14.8769 13.6873 7.9813 Å, 90.00 100.03 90.00°
Space group C2/c (No. 15)
One atom of each set of equivalent atoms:
In1 0.0000 0.1104 0.2500 [4 per cell]
Hg1 0.1847 0.4190 0.3238 [8 per cell]
I1 0.1157 0.0754 0.6150 [8 per cell]
I2 0.1204 0.4077 0.6390 [8 per cell]
I3 0.1296 0.2500 0.1219 [8 per cell]

Results
Energy relative to the elements, uncorrected: -7.0 kcal/mol of atoms
Volume: 44.45 Å³ per atom


no.,electronic total energy (eV/atom)
1,-4.23
2,-4.28
3,-7.33
4,-2.83
5,-6.19
6,-4.66
7,-2.37
8,-1.71